# 1
{
  "formula": "LaVCo2",
  "functional": "GGA-PBE",
  "state": "optimized geometry",
  "cell": [[4.704, 0.000, 0.000], [0.000, 4.704, 0.000], [2.352, 2.352, 7.399]],
  "species": ["Co", "Co", "Co", "Co", "V", "V", "La", "La"],
  "fractional_positions": [[0.375, 0.625, 0.750], [0.375, 0.125, 0.250], [0.375, 0.625, 0.250], [0.875, 0.625, 0.750], [0.500, 0.500, 0.000], [0.250, 0.750, 0.500], [0.750, 0.250, 0.500], [0.000, 0.000, 0.000]],
  "ef_mev_per_atom": 344,
  "spacegroup": "I4_1/amd (141)",
  "dos_ef_per_ev_atom": 1.19,
  "final_energy_ev_per_cell": -53.76,
  "de_polymorph_ev_per_atom": 0.000,
  "crystal_system": "tetragonal"
}

***

# 2
{
  "formula": "TmAs2P2Pd7",
  "functional": "GGA-PBE",
  "state": "optimized geometry",
  "cell": [[3.918, 0.022, 0.166], [0.027, 3.918, 0.166], [2.375, 2.372, 14.305]],
  "species": ["P", "P", "As", "As", "Pd", "Pd", "Pd", "Pd", "Pd", "Pd", "Pd", "Tm"],
  "fractional_positions": [[0.312, 0.312, 0.250], [0.688, 0.688, 0.750], [0.316, 0.316, 0.574], [0.684, 0.684, 0.426], [0.802, 0.802, 0.588], [0.882, 0.382, 0.157], [0.500, 0.500, 0.000], [0.618, 0.118, 0.843], [0.198, 0.198, 0.412], [0.382, 0.882, 0.157], [0.118, 0.618, 0.843], [0.000, 0.000, 0.000]],
  "ef_mev_per_atom": -490,
  "spacegroup": "C2/m (12)",
  "dos_ef_per_ev_atom": 0.30,
  "final_energy_ev_per_cell": -66.82,
  "crystal_system": "monoclinic"
}

***

# 3
{
  "formula": "K2CoMo",
  "functional": "GGA-PBE",
  "state": "optimized geometry",
  "cell": [[-3.670, -11.143, 1.982], [-3.178, -11.435, -0.842], [-1.029, -11.807, 1.041]],
  "species": ["Co", "Mo", "K", "K"],
  "fractional_positions": [[0.750, 0.750, 0.750], [0.250, 0.250, 0.250], [0.004, 0.004, 0.004], [0.496, 0.496, 0.496]],
  "ef_mev_per_atom": 1423,
  "spacegroup": "R-3m (166)",
  "dos_ef_per_ev_atom": 0.97,
  "final_energy_ev_per_cell": -14.44,
  "de_polymorph_ev_per_atom": 0.620,
  "crystal_system": "trigonal"
}

***

# 4
{
  "formula": "Th2NiCl",
  "functional": "GGA-PBE",
  "state": "optimized geometry",
  "cell": [[-3.175, -2.635, 0.021], [-0.595, -2.539, -3.197], [2.824, -6.618, 2.067]],
  "species": ["Ni", "Th", "Th", "Cl"],
  "fractional_positions": [[0.668, 0.668, 0.997], [0.068, 0.068, 0.796], [0.267, 0.267, 0.199], [0.497, 0.497, 0.508]],
  "spacegroup": "R3m (160)",
  "dos_ef_per_ev_atom": 1.28,
  "final_energy_ev_per_cell": -25.28,
  "raw_formation_energy_mev_per_atom": -703,
  "crystal_system": "trigonal"
}

***

# 5
{
  "formula": "NpPaTe4",
  "functional": "GGA-PBE",
  "state": "optimized geometry",
  "cell": [[-2.957, -1.351, -3.176], [-0.499, -6.455, 3.210], [-5.459, 2.507, 4.017]],
  "species": ["Te", "Te", "Te", "Te", "Pa", "Np"],
  "fractional_positions": [[0.000, 0.796, 0.796], [0.500, 0.695, 0.305], [0.500, 0.305, 0.695], [0.000, 0.204, 0.204], [0.000, 0.500, 0.500], [0.500, 0.000, 0.000]],
  "spacegroup": "Cmmm (65)",
  "dos_ef_per_ev_atom": 1.64,
  "final_energy_ev_per_cell": -38.60,
  "raw_formation_energy_mev_per_atom": -599,
  "de_polymorph_ev_per_atom": 0.140,
  "crystal_system": "orthorhombic"
}